This record from Alexandria describes crystalline Nd6HgIr2Br3 at its relaxed geometry. The functional is GGA-PBE.

Structure (CIF):
```
data_Nd6HgIr2Br3
_symmetry_space_group_name_H-M 'C 1 2/m 1'
_symmetry_Int_Tables_number 12
_cell_length_a 19.9548
_cell_length_b 4.1792
_cell_length_c 9.2525
_cell_angle_alpha 90.00
_cell_angle_beta 108.75
_cell_angle_gamma 90.00
loop_
_symmetry_equiv_pos_as_xyz
'x,y,z'
'-x,-y,-z'
'-x,y,-z'
'x,-y,z'
'x+1/2,y+1/2,z'
'-x+1/2,-y+1/2,-z'
'-x+1/2,y+1/2,-z'
'x+1/2,-y+1/2,z'
loop_
_atom_site_label
_atom_site_type_symbol
_atom_site_fract_x
_atom_site_fract_y
_atom_site_fract_z
Nd1 Nd 0.0215 0.0000 0.2576
Nd2 Nd 0.1624 0.5000 0.1252
Nd3 Nd 0.1834 0.5000 0.5602
Hg1 Hg 0.0000 0.5000 0.0000
Ir1 Ir 0.1675 0.0000 0.3377
Br1 Br 0.0000 0.5000 0.5000
Br2 Br 0.1662 0.0000 0.8394
```


This record from Alexandria describes crystalline GeRuNO2 at its relaxed geometry. The functional is GGA-PBE.

Structure (CIF):
```
data_GeRuNO2
_symmetry_space_group_name_H-M 'P 4/m m m'
_symmetry_Int_Tables_number 123
_symmetry_space_group_name_Hall '-P 4 2'
_cell_length_a 4.0148
_cell_length_b 4.0148
_cell_length_c 3.7608
_cell_angle_alpha 90.00
_cell_angle_beta 90.00
_cell_angle_gamma 90.00
loop_
_atom_site_label
_atom_site_type_symbol
_atom_site_fract_x
_atom_site_fract_y
_atom_site_fract_z
Ge1 Ge 0.0000 0.0000 0.0000
Ru1 Ru 0.5000 0.5000 0.5000
N1 N 0.5000 0.5000 0.0000
O1 O 0.0000 0.5000 0.5000
```


This record from Alexandria describes crystalline CsPm2MnTe4 at its relaxed geometry. The functional is GGA-PBE.

Structure (CIF):
```
data_CsPm2MnTe4
_symmetry_space_group_name_H-M 'C m c m'
_symmetry_Int_Tables_number 63
_symmetry_space_group_name_Hall '-C 2c 2'
_cell_length_a 4.5107
_cell_length_b 16.0274
_cell_length_c 15.8065
_cell_angle_alpha 90.00
_cell_angle_beta 90.00
_cell_angle_gamma 90.00
loop_
_atom_site_label
_atom_site_type_symbol
_atom_site_fract_x
_atom_site_fract_y
_atom_site_fract_z
Cs1 Cs 0.0000 0.1080 0.2500
Pm1 Pm 0.0000 0.3696 0.0592
Mn1 Mn 0.0000 0.1685 0.7500
Te1 Te 0.0000 0.0000 0.0000
Te2 Te 0.0000 0.2615 0.6094
Te3 Te 0.0000 0.4263 0.2500
```


# SrTa3In GGA-PBE relaxed
data_SrTa3In
_symmetry_space_group_name_H-M 'P m -3 m'
_symmetry_Int_Tables_number 221
_symmetry_space_group_name_Hall '-P 4 2 3'
_cell_length_a 5.1866
_cell_length_b 5.1866
_cell_length_c 5.1866
_cell_angle_alpha 90.00
_cell_angle_beta 90.00
_cell_angle_gamma 90.00
loop_
_atom_site_label
_atom_site_type_symbol
_atom_site_fract_x
_atom_site_fract_y
_atom_site_fract_z
Sr1 Sr 0.0000 0.0000 0.0000
Ta1 Ta 0.0000 0.5000 0.5000
In1 In 0.5000 0.5000 0.5000
# * ΔH_f (0 K): 1872 meV per atom


# LiB2C2 GGA-PBE relaxed
data_LiB2C2
_symmetry_space_group_name_H-M 'P n m a'
_symmetry_Int_Tables_number 62
_cell_length_a 9.2779
_cell_length_b 2.7215
_cell_length_c 7.5726
_cell_angle_alpha 90.00
_cell_angle_beta 90.00
_cell_angle_gamma 90.00
loop_
_symmetry_equiv_pos_as_xyz
'x,y,z'
'-x,-y,-z'
'-x+1/2,-y,z+1/2'
'x+1/2,y,-z+1/2'
'x+1/2,-y+1/2,-z+1/2'
'-x+1/2,y+1/2,z+1/2'
'-x,y+1/2,-z'
'x,-y+1/2,z'
loop_
_atom_site_label
_atom_site_type_symbol
_atom_site_fract_x
_atom_site_fract_y
_atom_site_fract_z
Li1 Li 0.1497 0.2500 0.0113
B1 B 0.0485 0.7500 0.7768
B2 B 0.1999 0.7500 0.2629
C1 C 0.0327 0.7500 0.2234
C2 C 0.2191 0.7500 0.7772
# * ΔH_f (0 K): -26 meV per atom


# Co4Ir2Rh3 GGA-PBE relaxed
data_Co4Ir2Rh3
_symmetry_space_group_name_H-M 'C 1 2/c 1'
_symmetry_Int_Tables_number 15
_cell_length_a 11.0169
_cell_length_b 9.7080
_cell_length_c 4.6173
_cell_angle_alpha 90.00
_cell_angle_beta 93.50
_cell_angle_gamma 90.00
loop_
_symmetry_equiv_pos_as_xyz
'x,y,z'
'-x,-y,-z'
'-x,y,-z+1/2'
'x,-y,z+1/2'
'x+1/2,y+1/2,z'
'-x+1/2,-y+1/2,-z'
'-x+1/2,y+1/2,-z+1/2'
'x+1/2,-y+1/2,z+1/2'
loop_
_atom_site_label
_atom_site_type_symbol
_atom_site_fract_x
_atom_site_fract_y
_atom_site_fract_z
Co1 Co 0.0892 0.2101 0.0828
Co2 Co 0.1699 0.3234 0.5636
Ir1 Ir 0.2153 0.4207 0.0518
Rh1 Rh 0.0000 0.4451 0.2500
Rh2 Rh 0.0974 0.0755 0.5804
# * ΔH_f (0 K): 250 meV per atom


This record from Alexandria describes crystalline Li3ReF at its relaxed geometry. The functional is GGA-PBE.

Structure (CIF):
```
data_Li3ReF
_symmetry_space_group_name_H-M 'P m -3 m'
_symmetry_Int_Tables_number 221
_symmetry_space_group_name_Hall '-P 4 2 3'
_cell_length_a 5.1502
_cell_length_b 5.1502
_cell_length_c 5.1502
_cell_angle_alpha 90.00
_cell_angle_beta 90.00
_cell_angle_gamma 90.00
loop_
_atom_site_label
_atom_site_type_symbol
_atom_site_fract_x
_atom_site_fract_y
_atom_site_fract_z
Li1 Li 0.0000 0.0000 0.5000
Re1 Re 0.0000 0.0000 0.0000
F1 F 0.5000 0.5000 0.5000
```


This record from Alexandria describes crystalline NpNiSeS at its relaxed geometry. The functional is GGA-PBE.

Structure (CIF):
```
data_NpNiSeS
_symmetry_space_group_name_H-M 'I m m 2'
_symmetry_Int_Tables_number 44
_cell_length_a 3.5338
_cell_length_b 3.6033
_cell_length_c 11.6102
_cell_angle_alpha 90.00
_cell_angle_beta 90.00
_cell_angle_gamma 90.00
loop_
_symmetry_equiv_pos_as_xyz
'x,y,z'
'-x,-y,z'
'-x,y,z'
'x,-y,z'
'x+1/2,y+1/2,z+1/2'
'-x+1/2,-y+1/2,z+1/2'
'-x+1/2,y+1/2,z+1/2'
'x+1/2,-y+1/2,z+1/2'
loop_
_atom_site_label
_atom_site_type_symbol
_atom_site_fract_x
_atom_site_fract_y
_atom_site_fract_z
Np1 Np 0.0000 0.0000 0.0000
Ni1 Ni 0.0000 0.5000 0.7691
Se1 Se 0.0000 0.0000 0.6410
S1 S 0.0000 0.0000 0.3798
```


# LaTm8In2 GGA-PBE relaxed
data_LaTm8In2
_symmetry_space_group_name_H-M 'C 1 2/m 1'
_symmetry_Int_Tables_number 12
_cell_length_a 18.7865
_cell_length_b 6.7765
_cell_length_c 5.2590
_cell_angle_alpha 90.00
_cell_angle_beta 92.25
_cell_angle_gamma 90.00
loop_
_symmetry_equiv_pos_as_xyz
'x,y,z'
'-x,-y,-z'
'-x,y,-z'
'x,-y,z'
'x+1/2,y+1/2,z'
'-x+1/2,-y+1/2,-z'
'-x+1/2,y+1/2,-z'
'x+1/2,-y+1/2,z'
loop_
_atom_site_label
_atom_site_type_symbol
_atom_site_fract_x
_atom_site_fract_y
_atom_site_fract_z
La1 La 0.0000 0.0000 0.0000
Tm1 Tm 0.0471 0.5000 0.2411
Tm2 Tm 0.1366 0.2628 0.7336
Tm3 Tm 0.1975 0.0000 0.2360
In1 In 0.2127 0.5000 0.2486
# * ΔH_f (0 K): -54 meV per atom


# TbSmInPb GGA-PBE relaxed
data_TbSmInPb
_symmetry_space_group_name_H-M 'F -4 3 m'
_symmetry_Int_Tables_number 216
_symmetry_space_group_name_Hall 'F -4 2 3'
_cell_length_a 7.6996
_cell_length_b 7.6996
_cell_length_c 7.6996
_cell_angle_alpha 90.00
_cell_angle_beta 90.00
_cell_angle_gamma 90.00
loop_
_atom_site_label
_atom_site_type_symbol
_atom_site_fract_x
_atom_site_fract_y
_atom_site_fract_z
Tb1 Tb 0.0000 0.0000 0.0000
Sm1 Sm 0.0000 0.0000 0.5000
In1 In 0.2500 0.2500 0.7500
Pb1 Pb 0.2500 0.2500 0.2500
# * ΔH_f (0 K): -431 meV per atom


# Co2NiHg GGA-PBE relaxed
data_Co2NiHg
_symmetry_space_group_name_H-M 'I -4 2 d'
_symmetry_Int_Tables_number 122
_symmetry_space_group_name_Hall 'I -4 2bw'
_cell_length_a 3.6323
_cell_length_b 3.6323
_cell_length_c 17.9491
_cell_angle_alpha 90.00
_cell_angle_beta 90.00
_cell_angle_gamma 90.00
loop_
_atom_site_label
_atom_site_type_symbol
_atom_site_fract_x
_atom_site_fract_y
_atom_site_fract_z
Co1 Co 0.1959 0.2500 0.1250
Ni1 Ni 0.0000 0.0000 0.0000
Hg1 Hg 0.0000 0.0000 0.5000
# * ΔH_f (0 K): 610 meV per atom


This record from Alexandria describes crystalline CaTbSb at its relaxed geometry. The functional is GGA-PBE.

Structure (CIF):
```
data_CaTbSb
_symmetry_space_group_name_H-M 'C m c m'
_symmetry_Int_Tables_number 63
_symmetry_space_group_name_Hall '-C 2c 2'
_cell_length_a 3.5380
_cell_length_b 18.0327
_cell_length_c 5.9816
_cell_angle_alpha 90.00
_cell_angle_beta 90.00
_cell_angle_gamma 90.00
loop_
_atom_site_label
_atom_site_type_symbol
_atom_site_fract_x
_atom_site_fract_y
_atom_site_fract_z
Ca1 Ca 0.0000 0.1698 0.2500
Tb1 Tb 0.0000 0.5000 0.0000
Sb1 Sb 0.0000 0.3455 0.2500
```


# Nb2GaFe2Ru5 GGA-PBE relaxed
data_Nb2GaFe2Ru5
_symmetry_space_group_name_H-M 'P 4/m b m'
_symmetry_Int_Tables_number 127
_symmetry_space_group_name_Hall '-P 4 2ab'
_cell_length_a 8.6317
_cell_length_b 8.6317
_cell_length_c 3.9042
_cell_angle_alpha 90.00
_cell_angle_beta 90.00
_cell_angle_gamma 90.00
loop_
_atom_site_label
_atom_site_type_symbol
_atom_site_fract_x
_atom_site_fract_y
_atom_site_fract_z
Nb1 Nb 0.1581 0.3419 0.0000
Ga1 Ga 0.0000 0.0000 0.0000
Fe1 Fe 0.1368 0.6368 0.0000
Ru1 Ru 0.0000 0.5000 0.5000
Ru2 Ru 0.0761 0.8013 0.5000
# * ΔH_f (0 K): -51 meV per atom


# TaInRu GGA-PBE relaxed
data_TaInRu
_symmetry_space_group_name_H-M 'F -4 3 m'
_symmetry_Int_Tables_number 216
_symmetry_space_group_name_Hall 'F -4 2 3'
_cell_length_a 6.3075
_cell_length_b 6.3075
_cell_length_c 6.3075
_cell_angle_alpha 90.00
_cell_angle_beta 90.00
_cell_angle_gamma 90.00
loop_
_atom_site_label
_atom_site_type_symbol
_atom_site_fract_x
_atom_site_fract_y
_atom_site_fract_z
Ta1 Ta 0.0000 0.0000 0.0000
In1 In 0.2500 0.2500 0.2500
Ru1 Ru 0.2500 0.2500 0.7500
# * ΔH_f (0 K): 632 meV per atom


This record from Alexandria describes crystalline BaSr2CaI8 at its relaxed geometry. The functional is GGA-PBE.

Structure (CIF):
```
data_BaSr2CaI8
_symmetry_space_group_name_H-M 'P 1 2/m 1'
_symmetry_Int_Tables_number 10
_cell_length_a 7.5799
_cell_length_b 9.9726
_cell_length_c 7.8549
_cell_angle_alpha 90.00
_cell_angle_beta 90.31
_cell_angle_gamma 90.00
loop_
_symmetry_equiv_pos_as_xyz
'x,y,z'
'-x,-y,-z'
'-x,y,-z'
'x,-y,z'
loop_
_atom_site_label
_atom_site_type_symbol
_atom_site_fract_x
_atom_site_fract_y
_atom_site_fract_z
Ba1 Ba 0.0000 0.0000 0.0000
Sr1 Sr 0.5000 0.2580 0.5000
Ca1 Ca 0.0000 0.5000 0.0000
I1 I 0.2306 0.2715 0.1650
I2 I 0.2624 0.5000 0.6760
I3 I 0.2750 0.0000 0.6508
```


# Dy8As2C3 GGA-PBE relaxed
data_Dy8As2C3
_symmetry_space_group_name_H-M 'C 1 2/m 1'
_symmetry_Int_Tables_number 12
_cell_length_a 14.1310
_cell_length_b 7.2549
_cell_length_c 6.3683
_cell_angle_alpha 90.00
_cell_angle_beta 107.39
_cell_angle_gamma 90.00
loop_
_symmetry_equiv_pos_as_xyz
'x,y,z'
'-x,-y,-z'
'-x,y,-z'
'x,-y,z'
'x+1/2,y+1/2,z'
'-x+1/2,-y+1/2,-z'
'-x+1/2,y+1/2,-z'
'x+1/2,-y+1/2,z'
loop_
_atom_site_label
_atom_site_type_symbol
_atom_site_fract_x
_atom_site_fract_y
_atom_site_fract_z
Dy1 Dy 0.0979 0.0000 0.4018
Dy2 Dy 0.0994 0.5000 0.4104
Dy3 Dy 0.1013 0.2391 0.8946
As1 As 0.2455 0.5000 0.1752
C1 C 0.0000 0.0000 0.0000
C2 C 0.0000 0.2540 0.5000
# * ΔH_f (0 K): -576 meV per atom


This record from Alexandria describes crystalline NaTlSiRu2 at its relaxed geometry. The functional is GGA-PBE.

Structure (CIF):
```
data_NaTlSiRu2
_symmetry_space_group_name_H-M 'P 4/m m m'
_symmetry_Int_Tables_number 123
_symmetry_space_group_name_Hall '-P 4 2'
_cell_length_a 5.0344
_cell_length_b 5.0344
_cell_length_c 4.9999
_cell_angle_alpha 90.00
_cell_angle_beta 90.00
_cell_angle_gamma 90.00
loop_
_atom_site_label
_atom_site_type_symbol
_atom_site_fract_x
_atom_site_fract_y
_atom_site_fract_z
Na1 Na 0.0000 0.0000 0.0000
Tl1 Tl 0.0000 0.0000 0.5000
Si1 Si 0.5000 0.5000 0.0000
Ru1 Ru 0.0000 0.5000 0.5000
```


This record from Alexandria describes crystalline KCaZnO2 at its relaxed geometry. The functional is GGA-PBE.

Structure (CIF):
```
data_KCaZnO2
_symmetry_space_group_name_H-M 'P 1 2/c 1'
_symmetry_Int_Tables_number 13
_cell_length_a 7.5492
_cell_length_b 6.0366
_cell_length_c 6.8053
_cell_angle_alpha 90.00
_cell_angle_beta 115.85
_cell_angle_gamma 90.00
loop_
_symmetry_equiv_pos_as_xyz
'x,y,z'
'-x,-y,-z'
'-x,y,-z+1/2'
'x,-y,z+1/2'
loop_
_atom_site_label
_atom_site_type_symbol
_atom_site_fract_x
_atom_site_fract_y
_atom_site_fract_z
K1 K 0.0000 0.2237 0.2500
Ca1 Ca 0.5000 0.4992 0.7500
Zn1 Zn 0.5000 0.0000 0.0000
O1 O 0.3906 0.2758 0.4466
```


This record from Alexandria describes crystalline Li2AcTmSe4 at its relaxed geometry. The functional is GGA-PBE.

Structure (CIF):
```
data_Li2AcTmSe4
_symmetry_space_group_name_H-M 'P 1 2/m 1'
_symmetry_Int_Tables_number 10
_cell_length_a 6.9860
_cell_length_b 4.2262
_cell_length_c 7.3636
_cell_angle_alpha 90.00
_cell_angle_beta 110.62
_cell_angle_gamma 90.00
loop_
_symmetry_equiv_pos_as_xyz
'x,y,z'
'-x,-y,-z'
'-x,y,-z'
'x,-y,z'
loop_
_atom_site_label
_atom_site_type_symbol
_atom_site_fract_x
_atom_site_fract_y
_atom_site_fract_z
Li1 Li 0.0000 0.0000 0.0000
Li2 Li 0.0000 0.5000 0.5000
Ac1 Ac 0.5000 0.0000 0.5000
Tm1 Tm 0.5000 0.5000 0.0000
Se1 Se 0.2380 0.5000 0.2232
Se2 Se 0.2467 0.0000 0.7670
```


# Li2Sm2YGe2 GGA-PBE relaxed
data_Li2Sm2YGe2
_symmetry_space_group_name_H-M 'R -3 m'
_symmetry_Int_Tables_number 166
_symmetry_space_group_name_Hall '-R 3 2"'
_cell_length_a 4.4377
_cell_length_b 4.4377
_cell_length_c 28.3273
_cell_angle_alpha 90.00
_cell_angle_beta 90.00
_cell_angle_gamma 120.00
loop_
_atom_site_label
_atom_site_type_symbol
_atom_site_fract_x
_atom_site_fract_y
_atom_site_fract_z
Li1 Li 0.0000 0.0000 0.1078
Sm1 Sm 0.0000 0.0000 0.3759
Y1 Y 0.0000 0.0000 0.5000
Ge1 Ge 0.0000 0.0000 0.2307
# * ΔH_f (0 K): -494 meV per atom


This record from Alexandria describes crystalline Tm2PN at its relaxed geometry. The functional is GGA-PBE.

Structure (CIF):
```
data_Tm2PN
_symmetry_space_group_name_H-M 'R 3 m'
_symmetry_Int_Tables_number 160
_symmetry_space_group_name_Hall 'R 3 -2"'
_cell_length_a 3.5792
_cell_length_b 3.5792
_cell_length_c 19.3752
_cell_angle_alpha 90.00
_cell_angle_beta 90.00
_cell_angle_gamma 120.00
loop_
_atom_site_label
_atom_site_type_symbol
_atom_site_fract_x
_atom_site_fract_y
_atom_site_fract_z
Tm1 Tm 0.0000 0.0000 0.0000
Tm2 Tm 0.0000 0.0000 0.1520
P1 P 0.0000 0.0000 0.5766
N1 N 0.0000 0.0000 0.7463
```


This record from Alexandria describes crystalline SrCaGaSb2 at its relaxed geometry. The functional is GGA-PBE.

Structure (CIF):
```
data_SrCaGaSb2
_symmetry_space_group_name_H-M 'C m m e'
_symmetry_Int_Tables_number 67
_symmetry_space_group_name_Hall '-C 2a 2'
_cell_length_a 6.8321
_cell_length_b 15.1217
_cell_length_c 6.1836
_cell_angle_alpha 90.00
_cell_angle_beta 90.00
_cell_angle_gamma 90.00
loop_
_atom_site_label
_atom_site_type_symbol
_atom_site_fract_x
_atom_site_fract_y
_atom_site_fract_z
Sr1 Sr 0.0000 0.2500 0.2341
Ca1 Ca 0.2500 0.0000 0.5000
Ga1 Ga 0.0000 0.0000 0.0000
Sb1 Sb 0.0000 0.1465 0.7426
```


# RbY2Sn GGA-PBE relaxed
data_RbY2Sn
_symmetry_space_group_name_H-M 'I -4 2 d'
_symmetry_Int_Tables_number 122
_symmetry_space_group_name_Hall 'I -4 2bw'
_cell_length_a 6.4757
_cell_length_b 6.4757
_cell_length_c 20.6780
_cell_angle_alpha 90.00
_cell_angle_beta 90.00
_cell_angle_gamma 90.00
loop_
_atom_site_label
_atom_site_type_symbol
_atom_site_fract_x
_atom_site_fract_y
_atom_site_fract_z
Rb1 Rb 0.0000 0.0000 0.0000
Y1 Y 0.0020 0.7500 0.6250
Sn1 Sn 0.0000 0.0000 0.5000
# * ΔH_f (0 K): 452 meV per atom


What did we get for calculated total energy? Answer: -5.29 -6.45 -5.12 -6.12 -6.77 -7.33 -3.17 -7.40 -4.25 -4.38 -4.46 -4.01 -8.70 -7.32 -3.31 -6.25 -3.71 -4.44 -4.95 -4.63 -6.91 -3.53 -4.02 eV per atom, in the order shown.